1 | Computed, not measured: Dy3Y4Tm5 after structural relaxation at the GGA-PBE level of DFT.

## Properties
- Fermi-level density of states: 19.87 states/eV/cell
- Space-group type: No. 12
- Total magnetization: 0.6 μB/f.u.

Unit cell a=5.8458 b=8.4582 c=9.5474 alpha=105.46 beta=72.17 gamma=69.78
Last column: magnetic moment on the atom in μB.
Atoms (fractional coordinates):
1 Dy 0.0000 0.5000 0.5000  0.21
2 Dy 0.5249 0.6853 0.2648  0.01
3 Dy 0.4751 0.3147 0.7352  0.01
4 Y 0.8583 0.2225 0.0609  0.01
5 Y 0.8334 0.9544 0.3788  0.00
6 Y 0.1666 0.0456 0.6212  0.00
7 Y 0.1417 0.7775 0.9391  0.01
8 Tm 0.3732 0.0544 0.1992  0.02
9 Tm 0.2126 0.4596 0.1153  0.02
10 Tm 0.5000 0.5000 0.5000  0.21
11 Tm 0.7874 0.5404 0.8847  0.02
12 Tm 0.6268 0.9456 0.8008  0.02


2 | Computed, not measured: Dy3Y4Tm5 after structural relaxation at the GGA-PBE level of DFT.

## Properties
- Fermi-level density of states: 16.63 states/eV/cell
- Space-group type: No. 2
- Total magnetization: 0.0 μB/f.u.

Unit cell a=7.0673 b=11.1573 c=12.7181 alpha=151.30 beta=56.31 gamma=129.27
Atoms (fractional coordinates):
1 Tm 0.2495 0.5015 0.0010
2 Tm 0.6677 0.3338 0.1659
3 Tm 0.7505 0.4985 0.9990
4 Tm 0.3323 0.6662 0.8341
5 Tm 0.5000 0.0000 0.5000
6 Dy 0.4195 0.8359 0.6677
7 Dy 0.0000 0.0000 0.5000
8 Dy 0.5805 0.1641 0.3323
9 Y 0.1688 0.3362 0.1679
10 Y 0.9164 0.8342 0.6667
11 Y 0.8312 0.6638 0.8321
12 Y 0.0836 0.1658 0.3333


Which structure loses on stability? 1 does.


1 | Computed, not measured: Dy2Y4Tm after structural relaxation at the GGA-PBE level of DFT.

## Properties
- Fermi-level density of states: 25.86 states/eV/cell
- Space-group type: No. 11
- Total magnetization: 0.0 μB/f.u.

Unit cell a=5.9316 b=6.6980 c=11.6701 alpha=90.00 beta=104.83 gamma=90.00
Atoms (fractional coordinates):
1 Y 0.8426 0.2500 0.5746
2 Y 0.0149 0.2500 0.1548
3 Y 0.6350 0.0027 0.2899
4 Y 0.1574 0.7500 0.4254
5 Y 0.3650 0.9973 0.7101
6 Y 0.3650 0.5027 0.7101
7 Y 0.6350 0.4973 0.2899
8 Y 0.9851 0.7500 0.8452
9 Dy 0.7265 0.7500 0.5595
10 Dy 0.4045 0.2500 0.9930
11 Dy 0.5955 0.7500 0.0070
12 Dy 0.2735 0.2500 0.4405
13 Tm 0.1546 0.7500 0.1435
14 Tm 0.8454 0.2500 0.8565


2 | Computed, not measured: Dy2Y4Tm after structural relaxation at the GGA-PBE level of DFT.

## Properties
- Fermi-level density of states: 12.35 states/eV/cell
- Space-group type: No. 12
- Total magnetization: 0.0 μB/f.u.

Unit cell a=3.5492 b=9.3914 c=8.5479 alpha=121.91 beta=78.02 gamma=112.19
Atoms (fractional coordinates):
1 Y 0.8051 0.1641 0.7190
2 Y 0.1949 0.8359 0.2810
3 Y 0.5901 0.2932 0.4070
4 Y 0.4099 0.7068 0.5930
5 Dy 0.6396 0.5697 0.8600
6 Dy 0.3604 0.4303 0.1400
7 Tm 0.0000 0.0000 0.0000


Which structure loses on stability? 1 does.


1 | Computed, not measured: Dy4Y3Tm4 after structural relaxation at the GGA-PBE level of DFT.

## Properties
- Fermi-level density of states: 21.55 states/eV/cell
- Space-group type: No. 12
- Total magnetization: 0.0 μB/f.u.

Unit cell a=3.5062 b=5.5571 c=17.9481 alpha=81.05 beta=84.38 gamma=89.99
Atoms (fractional coordinates):
1 Tm 0.6811 0.1807 0.6386
2 Tm 0.5459 0.5458 0.9088
3 Tm 0.3189 0.8194 0.3614
4 Tm 0.4541 0.4543 0.0912
5 Dy 0.4098 0.9092 0.1811
6 Dy 0.2667 0.2665 0.4670
7 Dy 0.5902 0.0908 0.8189
8 Dy 0.7333 0.7335 0.5330
9 Y 0.1367 0.6366 0.7267
10 Y 0.0000 0.0000 0.0000
11 Y 0.8633 0.3634 0.2733


2 | Computed, not measured: Dy4Y3Tm4 after structural relaxation at the GGA-PBE level of DFT.

## Properties
- Fermi-level density of states: 13.87 states/eV/cell
- Space-group type: No. 12
- Total magnetization: 0.0 μB/f.u.

Unit cell a=3.5294 b=4.9882 c=19.6738 alpha=97.28 beta=95.14 gamma=89.98
Atoms (fractional coordinates):
1 Y 0.6366 0.6362 0.2735
2 Y 0.0000 0.0000 0.0000
3 Y 0.3634 0.3638 0.7265
4 Dy 0.4538 0.4546 0.9082
5 Dy 0.1823 0.1823 0.3652
6 Dy 0.5462 0.5454 0.0919
7 Dy 0.8176 0.8177 0.6347
8 Tm 0.7275 0.7276 0.4553
9 Tm 0.0914 0.0905 0.1823
10 Tm 0.9086 0.9095 0.8177
11 Tm 0.2724 0.2724 0.5447


Which structure loses on stability? 1 does.


1 | Computed, not measured: DyY3Tm5 after structural relaxation at the GGA-PBE level of DFT.

## Properties
- Fermi-level density of states: 24.63 states/eV/cell
- Space-group type: No. 193
- Total magnetization: 0.0 μB/f.u.

Unit cell a=6.9421 b=9.6313 c=9.6313 alpha=120.00 beta=90.00 gamma=90.00
Atoms (fractional coordinates):
1 Tm 0.0000 0.3333 0.6667
2 Tm 0.2500 0.3079 0.0000
3 Tm 0.5000 0.3333 0.6667
4 Tm 0.7500 0.0000 0.6921
5 Tm 0.2500 0.6921 0.6921
6 Tm 0.7500 0.3079 0.3079
7 Tm 0.0000 0.6667 0.3333
8 Tm 0.2500 0.0000 0.3079
9 Tm 0.5000 0.6667 0.3333
10 Tm 0.7500 0.6921 0.0000
11 Dy 0.5000 0.0000 0.0000
12 Dy 0.0000 0.0000 0.0000
13 Y 0.2500 0.6404 0.0000
14 Y 0.2500 0.0000 0.6404
15 Y 0.7500 0.6404 0.6404
16 Y 0.2500 0.3596 0.3596
17 Y 0.7500 0.3596 0.0000
18 Y 0.7500 0.0000 0.3596


2 | Computed, not measured: DyY3Tm5 after structural relaxation at the GGA-PBE level of DFT.

## Properties
- Fermi-level density of states: 34.97 states/eV/cell
- Space-group type: No. 74
- Total magnetization: 0.0 μB/f.u.

Unit cell a=9.6015 b=10.2244 c=6.9792 alpha=109.98 beta=90.00 gamma=118.00
Atoms (fractional coordinates):
1 Y 0.6679 0.3358 0.6678
2 Y 0.0000 0.0000 0.5000
3 Y 0.3321 0.6642 0.3322
4 Y 0.6679 0.3358 0.1678
5 Y 0.3321 0.6642 0.8322
6 Y 0.0000 0.0000 0.0000
7 Tm 0.6670 0.6639 0.5817
8 Tm 0.3335 0.3303 0.9155
9 Tm 0.3330 0.3361 0.4183
10 Tm 0.0032 0.6697 0.5845
11 Tm 0.6572 0.0000 0.2500
12 Tm 0.3428 0.0000 0.7500
13 Tm 0.9970 0.6639 0.0817
14 Tm 0.0030 0.3361 0.9183
15 Tm 0.6665 0.6697 0.0845
16 Tm 0.9968 0.3303 0.4155
17 Dy 0.3242 0.0000 0.2500
18 Dy 0.6758 0.0000 0.7500


Which structure loses on stability? 2 does.


1 | Computed, not measured: Dy2Y6Tm3 after structural relaxation at the GGA-PBE level of DFT.

## Properties
- Fermi-level density of states: 18.15 states/eV/cell
- Space-group type: No. 139
- Total magnetization: 0.0 μB/f.u.

Unit cell a=4.6997 b=4.6997 c=16.9509 alpha=97.97 beta=97.97 gamma=90.00
Atoms (fractional coordinates):
1 Y 0.1210 0.6210 0.2419
2 Y 0.6210 0.1210 0.2419
3 Y 0.3008 0.3008 0.6016
4 Y 0.3790 0.8790 0.7581
5 Y 0.8790 0.3790 0.7581
6 Y 0.6992 0.6992 0.3984
7 Dy 0.5452 0.5452 0.0905
8 Dy 0.4548 0.4548 0.9095
9 Tm 0.8022 0.8022 0.6045
10 Tm 0.1978 0.1978 0.3955
11 Tm 0.0000 0.0000 0.0000


2 | Computed, not measured: Dy2Y6Tm3 after structural relaxation at the GGA-PBE level of DFT.

## Properties
- Fermi-level density of states: 17.10 states/eV/cell
- Space-group type: No. 166
- Total magnetization: 0.0 μB/f.u.

Unit cell a=3.5463 b=3.5463 c=31.8222 alpha=86.81 beta=86.81 gamma=60.00
Atoms (fractional coordinates):
1 Y 0.0904 0.0904 0.7287
2 Y 0.6365 0.6365 0.0904
3 Y 0.9096 0.9096 0.2713
4 Y 0.8180 0.8180 0.5460
5 Y 0.1820 0.1820 0.4540
6 Y 0.3635 0.3635 0.9096
7 Dy 0.5458 0.5458 0.3627
8 Dy 0.4542 0.4542 0.6373
9 Tm 0.0000 0.0000 0.0000
10 Tm 0.7270 0.7270 0.8191
11 Tm 0.2730 0.2730 0.1809


Which structure loses on stability? 1 does.


1 | Computed, not measured: DyY12Tm7 after structural relaxation at the GGA-PBE level of DFT.

## Properties
- Fermi-level density of states: 20.15 states/eV/cell
- Space-group type: No. 148
- Total magnetization: 0.0 μB/f.u.

Unit cell a=8.6613 b=8.6613 c=8.6613 alpha=95.14 beta=95.14 gamma=95.14
Atoms (fractional coordinates):
1 Y 0.8513 0.5835 0.5211
2 Y 0.1845 0.7511 0.3115
3 Y 0.5835 0.5211 0.8513
4 Y 0.2489 0.6885 0.8155
5 Y 0.5211 0.8513 0.5835
6 Y 0.4165 0.4789 0.1487
7 Y 0.7511 0.3115 0.1845
8 Y 0.6885 0.8155 0.2489
9 Y 0.4789 0.1487 0.4165
10 Y 0.1487 0.4165 0.4789
11 Y 0.3115 0.1845 0.7511
12 Y 0.8155 0.2489 0.6885
13 Dy 0.0000 0.0000 0.0000
14 Tm 0.6480 0.9780 0.9164
15 Tm 0.9164 0.6480 0.9780
16 Tm 0.9780 0.9164 0.6480
17 Tm 0.0836 0.3520 0.0220
18 Tm 0.0220 0.0836 0.3520
19 Tm 0.5000 0.5000 0.5000
20 Tm 0.3520 0.0220 0.0836


2 | Computed, not measured: DyY12Tm7 after structural relaxation at the GGA-PBE level of DFT.

## Properties
- Fermi-level density of states: 30.92 states/eV/cell
- Space-group type: No. 148
- Total magnetization: 0.0 μB/f.u.

Unit cell a=6.6596 b=10.9399 c=10.9399 alpha=64.01 beta=78.29 gamma=101.71
Atoms (fractional coordinates):
1 Dy 0.0000 0.0000 0.0000
2 Tm 0.3676 0.3007 0.8346
3 Tm 0.7978 0.1654 0.1353
4 Tm 0.5000 0.0000 0.0000
5 Tm 0.9331 0.1353 0.6993
6 Tm 0.6324 0.6993 0.1654
7 Tm 0.2022 0.8346 0.8647
8 Tm 0.0669 0.8647 0.3007
9 Y 0.7995 0.0681 0.4549
10 Y 0.2917 0.2099 0.2078
11 Y 0.0818 0.5822 0.2099
12 Y 0.4996 0.2078 0.5822
13 Y 0.2544 0.4549 0.4770
14 Y 0.9182 0.4178 0.7901
15 Y 0.7083 0.7901 0.7922
16 Y 0.7315 0.4770 0.0681
17 Y 0.7456 0.5451 0.5230
18 Y 0.2005 0.9319 0.5451
19 Y 0.5004 0.7922 0.4178
20 Y 0.2685 0.5230 0.9319


Which structure loses on stability? 2 does.


1 | Computed, not measured: Dy7YTm12 after structural relaxation at the GGA-PBE level of DFT.

## Properties
- Fermi-level density of states: 23.71 states/eV/cell
- Space-group type: No. 229
- Total magnetization: 0.0 μB/f.u.

Unit cell a=9.6298 b=9.6298 c=9.6298 alpha=109.47 beta=109.47 gamma=109.47
Atoms (fractional coordinates):
1 Tm 0.4985 0.7492 0.7493
2 Tm 0.5015 0.2508 0.2507
3 Tm 0.7493 0.4985 0.7492
4 Tm 0.2507 0.5015 0.2508
5 Tm 0.0001 0.2508 0.7493
6 Tm 0.2508 0.2507 0.5015
7 Tm 0.7492 0.2507 0.9999
8 Tm 0.2507 0.9999 0.7492
9 Tm 0.7492 0.7493 0.4985
10 Tm 0.9999 0.7492 0.2507
11 Tm 0.2508 0.7493 0.0001
12 Tm 0.7493 0.0001 0.2508
13 Dy 0.5000 0.0000 0.0000
14 Dy 0.0000 0.0000 0.5000
15 Dy 0.0000 0.5000 0.0000
16 Dy 0.5000 0.5000 0.0000
17 Dy 0.5000 0.0000 0.5000
18 Dy 0.0000 0.5000 0.5000
19 Dy 0.5000 0.5000 0.5000
20 Y 0.0000 0.0000 0.0000


2 | Computed, not measured: Dy7YTm12 after structural relaxation at the GGA-PBE level of DFT.

## Properties
- Fermi-level density of states: 19.40 states/eV/cell
- Space-group type: No. 148
- Total magnetization: 0.0 μB/f.u.

Unit cell a=8.5903 b=8.5903 c=8.5903 alpha=94.71 beta=94.71 gamma=94.71
Atoms (fractional coordinates):
1 Tm 0.1686 0.7458 0.3042
2 Tm 0.4297 0.5052 0.1564
3 Tm 0.8436 0.5703 0.4948
4 Tm 0.2542 0.6958 0.8314
5 Tm 0.3042 0.1686 0.7458
6 Tm 0.5052 0.1564 0.4297
7 Tm 0.1564 0.4297 0.5052
8 Tm 0.7458 0.3042 0.1686
9 Tm 0.5703 0.4948 0.8436
10 Tm 0.4948 0.8436 0.5703
11 Tm 0.6958 0.8314 0.2542
12 Tm 0.8314 0.2542 0.6958
13 Dy 0.0319 0.0970 0.3597
14 Dy 0.5000 0.5000 0.5000
15 Dy 0.0970 0.3597 0.0319
16 Dy 0.9030 0.6403 0.9681
17 Dy 0.3597 0.0319 0.0970
18 Dy 0.9681 0.9030 0.6403
19 Dy 0.6403 0.9681 0.9030
20 Y 0.0000 0.0000 0.0000


Which structure loses on stability? 1 does.


1 | Computed, not measured: Dy3Y3Tm after structural relaxation at the GGA-PBE level of DFT.

## Properties
- Fermi-level density of states: 12.22 states/eV/cell
- Space-group type: No. 160
- Total magnetization: 0.0 μB/f.u.

Unit cell a=6.3067 b=6.3067 c=6.3067 alpha=102.62 beta=102.62 gamma=102.62
Atoms (fractional coordinates):
1 Y 0.1682 0.5200 0.5200
2 Y 0.5200 0.5200 0.1682
3 Y 0.5200 0.1682 0.5200
4 Dy 0.5582 0.9641 0.9641
5 Dy 0.9641 0.9641 0.5582
6 Dy 0.9641 0.5582 0.9641
7 Tm 0.1049 0.1049 0.1049


2 | Computed, not measured: Dy3Y3Tm after structural relaxation at the GGA-PBE level of DFT.

## Properties
- Fermi-level density of states: 20.20 states/eV/cell
- Space-group type: No. 148
- Total magnetization: 0.0 μB/f.u.

Unit cell a=6.1731 b=6.1731 c=14.5543 alpha=77.76 beta=77.76 gamma=60.00
Atoms (fractional coordinates):
1 Y 0.7324 0.3998 0.8020
2 Y 0.0658 0.7324 0.8020
3 Y 0.2676 0.6002 0.1980
4 Y 0.6002 0.9342 0.1980
5 Y 0.9342 0.2676 0.1980
6 Y 0.3998 0.0658 0.8020
7 Dy 0.1984 0.8670 0.3986
8 Dy 0.4640 0.8016 0.6014
9 Dy 0.1330 0.4640 0.6014
10 Dy 0.8016 0.1330 0.6014
11 Dy 0.5360 0.1984 0.3986
12 Dy 0.8670 0.5360 0.3986
13 Tm 0.3333 0.3333 0.0000
14 Tm 0.6667 0.6667 0.0000


Which structure loses on stability? 1 does.


1 | Computed, not measured: Dy2Y7Tm after structural relaxation at the GGA-PBE level of DFT.

## Properties
- Fermi-level density of states: 14.36 states/eV/cell
- Space-group type: No. 65
- Total magnetization: 0.0 μB/f.u.

Unit cell a=5.5506 b=9.2051 c=9.2051 alpha=123.10 beta=90.00 gamma=90.00
Atoms (fractional coordinates):
1 Y 0.5000 0.9362 0.7099
2 Y 0.5000 0.0638 0.2901
3 Y 0.0000 0.7859 0.2141
4 Y 0.5000 0.2901 0.0638
5 Y 0.0000 0.2141 0.7859
6 Y 0.5000 0.5000 0.5000
7 Y 0.5000 0.7099 0.9362
8 Dy 0.5000 0.7037 0.2963
9 Dy 0.5000 0.2963 0.7037
10 Tm 0.0000 0.0000 0.0000


2 | Computed, not measured: Dy2Y7Tm after structural relaxation at the GGA-PBE level of DFT.

## Properties
- Fermi-level density of states: 16.80 states/eV/cell
- Space-group type: No. 65
- Total magnetization: 0.0 μB/f.u.

Unit cell a=10.1050 b=10.1050 c=3.5315 alpha=90.00 beta=90.00 gamma=108.27
Atoms (fractional coordinates):
1 Y 0.6129 0.8731 0.5000
2 Y 0.3871 0.1269 0.5000
3 Y 0.3238 0.6762 0.0000
4 Y 0.1269 0.3871 0.5000
5 Y 0.8731 0.6129 0.5000
6 Y 0.6762 0.3238 0.0000
7 Y 0.5000 0.5000 0.5000
8 Tm 0.0000 0.0000 0.0000
9 Dy 0.8318 0.1682 0.5000
10 Dy 0.1682 0.8318 0.5000


Which structure loses on stability? 1 does.